MgCd4Ru after structural relaxation. Source: Alexandria, functional PBE.

Results
Total moment (μB per cell): 0.0
Energy relative to the elements (meV/atom): 327

a b c (Å): 5.552 5.552 5.552
angles (deg): 60.00 60.00 60.00
Element x y z (fractional)
Mg (0.750, 0.750, 0.750)
Cd (0.877, 0.374, 0.374)
Cd (0.374, 0.374, 0.877)
Cd (0.374, 0.877, 0.374)
Cd (0.374, 0.374, 0.374)
Ru (0.000, 0.000, 0.000)



GaH2Au2 after structural relaxation. Source: Alexandria, functional PBE.

Results
Total moment (μB per cell): 0.0
ΔE to the lowest computed polymorph (eV/atom): 0.0000

a b c (Å): 6.025 6.025 3.681
angles (deg): 90.00 90.00 90.00
Element x y z (fractional)
H (0.340, 0.840, 0.000)
H (0.840, 0.660, 0.000)
H (0.660, 0.160, 0.000)
H (0.160, 0.340, 0.000)
Au (0.330, 0.830, 0.500)
Au (0.830, 0.670, 0.500)
Au (0.670, 0.170, 0.500)
Au (0.170, 0.330, 0.500)
Ga (0.000, 0.000, 0.000)
Ga (0.500, 0.500, 0.000)



MgSn2Au after structural relaxation. Source: Alexandria, functional PBE.

Results
Total moment (μB per cell): 0.0
Energy relative to the elements (meV/atom): 36

a b c (Å): 3.375 3.375 10.517
angles (deg): 80.77 80.77 60.00
Element x y z (fractional)
Mg (0.000, 0.000, 0.000)
Au (0.500, 0.500, 0.500)
Sn (0.097, 0.097, 0.710)
Sn (0.903, 0.903, 0.290)



ScAl4Br after structural relaxation. Source: Alexandria, functional PBE.

Results
Total moment (μB per cell): 0.0
Calculated total energy (eV/atom): -3.9264

a b c (Å): 5.495 5.495 5.495
angles (deg): 60.00 60.00 60.00
Element x y z (fractional)
Sc (0.000, 0.000, 0.000)
Al (0.879, 0.374, 0.374)
Al (0.374, 0.374, 0.879)
Al (0.374, 0.879, 0.374)
Al (0.374, 0.374, 0.374)
Br (0.750, 0.750, 0.750)



total moment of number 3 (MgSn2Au)? 0.0 μB per cell